The following is a PBE-GGA calculation of a relaxed BeZnPt2 crystal, from the Alexandria database.

* energy of formation: -0.108 eV per atom
* ρ: 12.51 g/cm³
* polymorph energy (0 for the lowest one): 571 meV/atom
* space-group type: I-42d
* D(E_F): 7.22 states/eV per cell

Cell: 3.905 3.905 16.184 Å, 90.00 90.00 90.00°
Fractional coordinates of all 16 atoms:
1 Be 0.000 0.000 0.000
2 Be 0.000 0.500 0.250
3 Be 0.500 0.000 0.750
4 Be 0.500 0.500 0.500
5 Zn 0.000 0.000 0.500
6 Zn 0.000 0.500 0.750
7 Zn 0.500 0.000 0.250
8 Zn 0.500 0.500 0.000
9 Pt 0.231 0.250 0.125
10 Pt 0.250 0.731 0.375
11 Pt 0.250 0.769 0.875
12 Pt 0.269 0.250 0.625
13 Pt 0.731 0.750 0.625
14 Pt 0.750 0.231 0.875
15 Pt 0.750 0.269 0.375
16 Pt 0.769 0.750 0.125

The following is a PBE-GGA calculation of a relaxed TaMn4Cd crystal, from the Alexandria database.

* energy of formation: 0.091 eV per atom
* ρ: 10.61 g/cm³
* space-group type: F-43m
* D(E_F): 7.15 states/eV per cell

Cell: 4.843 4.843 4.843 Å, 60.00 60.00 60.00°
Fractional coordinates of all 6 atoms:
1 Ta 0.000 0.000 0.000
2 Mn 0.128 0.624 0.624
3 Mn 0.624 0.128 0.624
4 Mn 0.624 0.624 0.128
5 Mn 0.624 0.624 0.624
6 Cd 0.250 0.250 0.250

The following is a PBE-GGA calculation of a relaxed Nd2Al3Ga6 crystal, from the Alexandria database.

* energy of formation: -0.275 eV per atom
* ρ: 5.68 g/cm³
* space-group type: Cmmm
* D(E_F): 4.64 states/eV per cell

Cell: 7.688 7.688 3.974 Å, 90.00 90.00 101.12°
Fractional coordinates of all 11 atoms:
1 Nd 0.198 0.802 0.000
2 Nd 0.802 0.198 0.000
3 Al 0.302 0.302 0.000
4 Al 0.500 0.500 0.500
5 Al 0.698 0.698 0.000
6 Ga 0.121 0.121 0.500
7 Ga 0.148 0.460 0.500
8 Ga 0.460 0.148 0.500
9 Ga 0.540 0.852 0.500
10 Ga 0.852 0.540 0.500
11 Ga 0.879 0.879 0.500